[1]
Crystalline ReNi2Pb at its relaxed geometry. Source: the Alexandria database, functional GGA-PBE.

a b c (Å): 4.050 4.050 3.636
angles (deg): 90.00 90.00 90.00
Space group P4/mmm (No. 123)
Asymmetric unit:
Re  0.000  0.000  0.000 (multiplicity 1)
Ni  0.000  0.500  0.500 (multiplicity 2)
Pb  0.500  0.500  0.000 (multiplicity 1)

* E_form: 0.5781 eV per atom

---

[2]
Crystalline ReNiSbPb2 at its relaxed geometry. Source: the Alexandria database, functional GGA-PBE.

a b c (Å): 5.020 5.020 4.944
angles (deg): 90.00 90.00 90.00
Space group P4/mmm (No. 123)
Asymmetric unit:
Re  0.000  0.000  0.000 (multiplicity 1)
Ni  0.000  0.000  0.500 (multiplicity 1)
Sb  0.500  0.500  0.000 (multiplicity 1)
Pb  0.000  0.500  0.500 (multiplicity 2)

* ΔE_f (raw): 462 kJ/mol of formula units

---

[3]
Crystalline ReNi2SbPb at its relaxed geometry. Source: the Alexandria database, functional GGA-PBE.

a b c (Å): 4.700 4.700 5.195
angles (deg): 90.00 90.00 90.00
Space group P4/mmm (No. 123)
Asymmetric unit:
Re  0.000  0.000  0.000 (multiplicity 1)
Ni  0.000  0.500  0.500 (multiplicity 2)
Sb  0.500  0.500  0.000 (multiplicity 1)
Pb  0.000  0.000  0.500 (multiplicity 1)

* ΔE_f (raw): 794 kJ/mol of formula units

---

[4]
Crystalline ScReNiPb2 at its relaxed geometry. Source: the Alexandria database, functional GGA-PBE.

a b c (Å): 5.498 5.498 4.379
angles (deg): 90.00 90.00 90.00
Space group P4/mmm (No. 123)
Asymmetric unit:
Sc  0.000  0.000  0.000 (multiplicity 1)
Re  0.500  0.500  0.500 (multiplicity 1)
Ni  0.000  0.000  0.500 (multiplicity 1)
Pb  0.000  0.500  0.000 (multiplicity 2)

* E_form: 1.5931 eV per atom

---

[5]
Crystalline TiRe2NiPb at its relaxed geometry. Source: the Alexandria database, functional GGA-PBE.

a b c (Å): 4.997 4.997 4.523
angles (deg): 90.00 90.00 90.00
Space group P4/mmm (No. 123)
Asymmetric unit:
Ti  0.000  0.000  0.000 (multiplicity 1)
Re  0.000  0.500  0.500 (multiplicity 2)
Ni  0.500  0.500  0.000 (multiplicity 1)
Pb  0.500  0.500  0.500 (multiplicity 1)

* E_form: 2.3641 eV per atom

---

[6]
Crystalline TlRe2NiPb at its relaxed geometry. Source: the Alexandria database, functional GGA-PBE.

a b c (Å): 5.127 5.127 5.693
angles (deg): 90.00 90.00 90.00
Space group P4/mmm (No. 123)
Asymmetric unit:
Tl  0.000  0.000  0.000 (multiplicity 1)
Re  0.000  0.500  0.500 (multiplicity 2)
Ni  0.500  0.500  0.000 (multiplicity 1)
Pb  0.000  0.000  0.500 (multiplicity 1)

* E_form: 2.9189 eV per atom

---

[7]
Crystalline Re2NiPbW at its relaxed geometry. Source: the Alexandria database, functional GGA-PBE.

a b c (Å): 4.903 4.903 4.967
angles (deg): 90.00 90.00 90.00
Space group P4/mmm (No. 123)
Asymmetric unit:
Re  0.000  0.500  0.000 (multiplicity 2)
Ni  0.000  0.000  0.500 (multiplicity 1)
Pb  0.500  0.500  0.000 (multiplicity 1)
W  0.500  0.500  0.500 (multiplicity 1)

* E_form: 3.5748 eV per atom

---

[8]
Crystalline Ni2Rh2Pb at its relaxed geometry. Source: the Alexandria database, functional GGA-PBE.

a b c (Å): 3.767 3.767 11.486
angles (deg): 90.00 90.00 90.00
Space group I4/mmm (No. 139)
Asymmetric unit:
Ni  0.000  0.000  0.103 (multiplicity 4)
Rh  0.000  0.500  0.250 (multiplicity 4)
Pb  0.000  0.000  0.500 (multiplicity 2)

* relative energy among the computed polymorphs: 74 meV/atom
* E_form: 0.3195 eV per atom

---

[9]
Crystalline NiRh2Pb at its relaxed geometry. Source: the Alexandria database, functional GGA-PBE.

a b c (Å): 3.925 3.925 18.155
angles (deg): 90.00 90.00 90.00
Space group I-42d (No. 122)
Asymmetric unit:
Ni  0.000  0.000  0.000 (multiplicity 4)
Rh  0.202  0.250  0.125 (multiplicity 8)
Pb  0.000  0.000  0.500 (multiplicity 4)

* E_form: 0.3885 eV per atom

---

[10]
Crystalline Ni2RhPb at its relaxed geometry. Source: the Alexandria database, functional GGA-PBE.

a b c (Å): 3.245 3.245 5.738
angles (deg): 90.00 90.00 90.00
Space group P4mm (No. 99)
Asymmetric unit:
Ni  0.000  0.000  0.000 (multiplicity 1)
Ni  0.500  0.500  0.196 (multiplicity 1)
Rh  0.500  0.500  0.761 (multiplicity 1)
Pb  0.000  0.000  0.472 (multiplicity 1)

* E_form: 0.2179 eV per atom

---

[11]
Crystalline Ni2RhPb at its relaxed geometry. Source: the Alexandria database, functional GGA-PBE.

a b c (Å): 3.006 3.625 5.622
angles (deg): 90.00 90.12 90.00
Space group P2/m (No. 10)
Asymmetric unit:
Ni  0.001  0.000  0.217 (multiplicity 2)
Rh  0.500  0.500  0.000 (multiplicity 1)
Pb  0.500  0.500  0.500 (multiplicity 1)

* E_form: 0.2494 eV per atom

---

[12]
Crystalline NiRh2Pb at its relaxed geometry. Source: the Alexandria database, functional GGA-PBE.

a b c (Å): 4.033 4.033 7.717
angles (deg): 90.00 90.00 90.00
Space group I-4m2 (No. 119)
Asymmetric unit:
Ni  0.000  0.000  0.000 (multiplicity 2)
Rh  0.000  0.000  0.500 (multiplicity 2)
Rh  0.000  0.500  0.750 (multiplicity 2)
Pb  0.000  0.500  0.250 (multiplicity 2)

* E_form: 0.1266 eV per atom

---

Looking at DOS(E_F) for the records above, in order, we have 6.04, 4.12, 3.71, 3.34, 5.15, 7.66, 9.48, 6.68, 5.82, 4.32, 5.52, 4.65 states/eV/f.u..